[1]
A plane-wave DFT calculation with SCAN was carried out for a PBEsol-optimized structure of Re3Tc.

## Properties
total moment	0.0	μB/f.u.
E above lowest polymorph	0.5	kJ/mol of atoms
mass density	18.86	g/cm3
V	14.5	Å³/atom
E_form	-0.33	kJ per mole of atoms
space-group type	P-6m2

Geometry as POSCAR:
```
Re3Tc
1.0
2.743 0.000 0.000
-1.372 2.376 0.000
0.000 0.000 8.872
Re Tc
3 1
Direct
0.333 0.667 0.252
0.333 0.667 0.748
0.000 0.000 0.000
0.000 0.000 0.500
```



[2]
A plane-wave DFT calculation with SCAN was carried out for a PBEsol-optimized structure of Re8Tc.

## Properties
total moment	0.0	μB/f.u.
mass density	20.09	g/cm3
V	14.6	Å³/atom
E_form	4.41	kJ per mole of atoms
space-group type	I4/mmm

Geometry as POSCAR:
```
Re8Tc
1.0
3.878 0.000 0.000
1.939 5.817 0.000
1.939 0.000 5.817
Re Tc
8 1
Direct
0.000 0.667 0.333
0.000 0.333 0.667
0.667 0.333 0.333
0.666 0.000 0.668
0.666 0.668 0.000
0.333 0.667 0.667
0.334 0.332 0.000
0.334 0.000 0.332
0.000 0.000 0.000
```